Record 1
Tl2FeHg | PBE | optimized geometry

Structure (CIF):
```
data_Tl2FeHg
_chemical_formula_sum 'Tl4 Fe2 Hg2'
_space_group_name_H-M_alt 'C m m m'
_space_group_IT_number 65
_space_group_name_Hall '-C 2 2'
_cell_length_a 7.044
_cell_length_b 8.130
_cell_length_c 3.317
_cell_angle_alpha 90.00
_cell_angle_beta 90.00
_cell_angle_gamma 90.00
loop_
_atom_site_label
_atom_site_type_symbol
_atom_site_fract_x
_atom_site_fract_y
_atom_site_fract_z
_atom_site_occupancy
Tl1 Tl 0.250 0.250 0.000 1
Fe1 Fe 0.000 0.000 0.500 1
Hg1 Hg 0.000 0.500 0.500 1
```

## Properties
Size of the total moment   2.98 μB/f.u.
ΔE to the lowest computed polymorph   142 meV per atom
Formation energy   0.51 eV/atom
Mass density   11.6 g/cm3

***

Record 2
Tl2FeHg | PBE | optimized geometry

Structure (CIF):
```
data_Tl2FeHg
_chemical_formula_sum 'Tl2 Fe1 Hg1'
_space_group_name_H-M_alt 'P m m m'
_space_group_IT_number 47
_cell_length_a 3.302
_cell_length_b 5.214
_cell_length_c 5.592
_cell_angle_alpha 90.00
_cell_angle_beta 90.00
_cell_angle_gamma 90.00
loop_
_space_group_symop_operation_xyz
'x,y,z'
'-x,-y,-z'
'-x,-y,z'
'x,y,-z'
'x,-y,-z'
'-x,y,z'
'-x,y,-z'
'x,-y,z'
loop_
_atom_site_label
_atom_site_type_symbol
_atom_site_fract_x
_atom_site_fract_y
_atom_site_fract_z
_atom_site_occupancy
Tl1 Tl 0.000 0.000 0.000 1
Tl2 Tl 0.500 0.000 0.500 1
Fe1 Fe 0.000 0.500 0.500 1
Hg1 Hg 0.500 0.500 0.000 1
```

## Properties
Size of the total moment   3.11 μB/f.u.
ΔE to the lowest computed polymorph   180 meV per atom
Formation energy   0.55 eV/atom
Mass density   11.5 g/cm3

***

Record 3
Tl2FeHg | PBE | optimized geometry

Structure (CIF):
```
data_Tl2FeHg
_chemical_formula_sum 'Tl2 Fe1 Hg1'
_space_group_name_H-M_alt 'P 4/m m m'
_space_group_IT_number 123
_space_group_name_Hall '-P 4 2'
_cell_length_a 5.387
_cell_length_b 5.387
_cell_length_c 3.282
_cell_angle_alpha 90.00
_cell_angle_beta 90.00
_cell_angle_gamma 90.00
loop_
_atom_site_label
_atom_site_type_symbol
_atom_site_fract_x
_atom_site_fract_y
_atom_site_fract_z
_atom_site_occupancy
Tl1 Tl 0.000 0.500 0.000 1
Fe1 Fe 0.000 0.000 0.500 1
Hg1 Hg 0.500 0.500 0.500 1
```

## Properties
Size of the total moment   2.97 μB/f.u.
ΔE to the lowest computed polymorph   142 meV per atom
Formation energy   0.51 eV/atom
Mass density   11.6 g/cm3

***

Record 4
Tl2FeHg2 | PBE | optimized geometry

Structure (CIF):
```
data_Tl2FeHg2
_chemical_formula_sum 'Tl4 Fe2 Hg4'
_space_group_name_H-M_alt 'I 4/m m m'
_space_group_IT_number 139
_space_group_name_Hall '-I 4 2'
_cell_length_a 3.972
_cell_length_b 3.972
_cell_length_c 17.472
_cell_angle_alpha 90.00
_cell_angle_beta 90.00
_cell_angle_gamma 90.00
loop_
_atom_site_label
_atom_site_type_symbol
_atom_site_fract_x
_atom_site_fract_y
_atom_site_fract_z
_atom_site_occupancy
Tl1 Tl 0.000 0.000 0.087 1
Fe1 Fe 0.000 0.000 0.500 1
Hg1 Hg 0.000 0.500 0.250 1
```

## Properties
Size of the total moment   2.90 μB/f.u.
ΔE to the lowest computed polymorph   86 meV per atom
Formation energy   0.58 eV/atom
Mass density   10.4 g/cm3

***

Record 5
TlFeHg2 | PBE | optimized geometry

Structure (CIF):
```
data_TlFeHg2
_chemical_formula_sum 'Tl1 Fe1 Hg2'
_space_group_name_H-M_alt 'P m m m'
_space_group_IT_number 47
_cell_length_a 3.196
_cell_length_b 5.269
_cell_length_c 5.319
_cell_angle_alpha 90.00
_cell_angle_beta 90.00
_cell_angle_gamma 90.00
loop_
_space_group_symop_operation_xyz
'x,y,z'
'-x,-y,-z'
'-x,-y,z'
'x,y,-z'
'x,-y,-z'
'-x,y,z'
'-x,y,-z'
'x,-y,z'
loop_
_atom_site_label
_atom_site_type_symbol
_atom_site_fract_x
_atom_site_fract_y
_atom_site_fract_z
_atom_site_occupancy
Tl1 Tl 0.000 0.000 0.000 1
Fe1 Fe 0.500 0.000 0.500 1
Hg1 Hg 0.000 0.500 0.500 1
Hg2 Hg 0.500 0.500 0.000 1
```

## Properties
Size of the total moment   2.95 μB/f.u.
ΔE to the lowest computed polymorph   167 meV per atom
Formation energy   0.50 eV/atom
Mass density   12.3 g/cm3

***

Record 6
TlFeHg3 | PBE | optimized geometry

Structure (CIF):
```
data_TlFeHg3
_chemical_formula_sum 'Tl1 Fe1 Hg3'
_space_group_name_H-M_alt 'P m -3 m'
_space_group_IT_number 221
_space_group_name_Hall '-P 4 2 3'
_cell_length_a 5.170
_cell_length_b 5.170
_cell_length_c 5.170
_cell_angle_alpha 90.00
_cell_angle_beta 90.00
_cell_angle_gamma 90.00
loop_
_atom_site_label
_atom_site_type_symbol
_atom_site_fract_x
_atom_site_fract_y
_atom_site_fract_z
_atom_site_occupancy
Tl1 Tl 0.000 0.000 0.000 1
Fe1 Fe 0.500 0.500 0.500 1
Hg1 Hg 0.000 0.500 0.500 1
```

## Properties
Size of the total moment   2.05 μB/f.u.
ΔE to the lowest computed polymorph   0 meV per atom
Formation energy   0.32 eV/atom
Mass density   10.4 g/cm3

***

Record 7
Tl2FeHg2 | PBE | optimized geometry

Structure (CIF):
```
data_Tl2FeHg2
_chemical_formula_sum 'Tl4 Fe2 Hg4'
_space_group_name_H-M_alt 'P 4/m b m'
_space_group_IT_number 127
_space_group_name_Hall '-P 4 2ab'
_cell_length_a 7.292
_cell_length_b 7.292
_cell_length_c 5.102
_cell_angle_alpha 90.00
_cell_angle_beta 90.00
_cell_angle_gamma 90.00
loop_
_atom_site_label
_atom_site_type_symbol
_atom_site_fract_x
_atom_site_fract_y
_atom_site_fract_z
_atom_site_occupancy
Tl1 Tl 0.175 0.325 0.000 1
Fe1 Fe 0.000 0.000 0.000 1
Hg1 Hg 0.152 0.652 0.500 1
```

## Properties
Size of the total moment   2.65 μB/f.u.
ΔE to the lowest computed polymorph   0 meV per atom
Formation energy   0.49 eV/atom
Mass density   10.6 g/cm3

***

Record 8
TlFeHg2 | PBE | optimized geometry

Structure (CIF):
```
data_TlFeHg2
_chemical_formula_sum 'Tl4 Fe4 Hg8'
_space_group_name_H-M_alt 'F -4 3 m'
_space_group_IT_number 216
_space_group_name_Hall 'F -4 2 3'
_cell_length_a 7.134
_cell_length_b 7.134
_cell_length_c 7.134
_cell_angle_alpha 90.00
_cell_angle_beta 90.00
_cell_angle_gamma 90.00
loop_
_atom_site_label
_atom_site_type_symbol
_atom_site_fract_x
_atom_site_fract_y
_atom_site_fract_z
_atom_site_occupancy
Tl1 Tl 0.000 0.000 0.000 1
Fe1 Fe 0.250 0.250 0.750 1
Hg1 Hg 0.000 0.000 0.500 1
Hg2 Hg 0.250 0.250 0.250 1
```

## Properties
Size of the total moment   3.30 μB/f.u.
ΔE to the lowest computed polymorph   228 meV per atom
Formation energy   0.56 eV/atom
Mass density   12.1 g/cm3

***

Record 9
Tl2FeHg | PBE | optimized geometry

Structure (CIF):
```
data_Tl2FeHg
_chemical_formula_sum 'Tl2 Fe1 Hg1'
_space_group_name_H-M_alt 'P 1 2/m 1'
_space_group_IT_number 10
_cell_length_a 3.553
_cell_length_b 4.578
_cell_length_c 5.992
_cell_angle_alpha 90.00
_cell_angle_beta 98.86
_cell_angle_gamma 90.00
loop_
_space_group_symop_operation_xyz
'x,y,z'
'-x,-y,-z'
'-x,y,-z'
'x,-y,z'
loop_
_atom_site_label
_atom_site_type_symbol
_atom_site_fract_x
_atom_site_fract_y
_atom_site_fract_z
_atom_site_occupancy
Tl1 Tl 0.145 0.000 0.270 1
Fe1 Fe 0.500 0.500 0.500 1
Hg1 Hg 0.500 0.500 0.000 1
```

## Properties
Size of the total moment   2.82 μB/f.u.
ΔE to the lowest computed polymorph   128 meV per atom
Formation energy   0.50 eV/atom
Mass density   11.5 g/cm3

***

Record 10
TlFeHg2 | PBE | optimized geometry

Structure (CIF):
```
data_TlFeHg2
_chemical_formula_sum 'Tl3 Fe3 Hg6'
_space_group_name_H-M_alt 'R -3 m'
_space_group_IT_number 166
_space_group_name_Hall '-R 3 2"'
_cell_length_a 3.2541
_cell_length_b 3.2541
_cell_length_c 29.1307
_cell_angle_alpha 90.00
_cell_angle_beta 90.00
_cell_angle_gamma 120.00
loop_
_atom_site_label
_atom_site_type_symbol
_atom_site_fract_x
_atom_site_fract_y
_atom_site_fract_z
_atom_site_occupancy
Tl1 Tl 0.0000 0.0000 0.0000 1
Fe1 Fe 0.0000 0.0000 0.5000 1
Hg1 Hg 0.0000 0.0000 0.2375 1
```

## Properties
Size of the total moment   2.71 μB/f.u.
ΔE to the lowest computed polymorph   40 meV per atom
Formation energy   0.38 eV/atom
Mass density   12.3 g/cm3

***

Record 11
ZrTlFe2Hg | PBE | optimized geometry

Structure (CIF):
```
data_ZrTlFe2Hg
_chemical_formula_sum 'Zr1 Tl1 Fe2 Hg1'
_space_group_name_H-M_alt 'P 4/m m m'
_space_group_IT_number 123
_space_group_name_Hall '-P 4 2'
_cell_length_a 4.762
_cell_length_b 4.762
_cell_length_c 5.338
_cell_angle_alpha 90.00
_cell_angle_beta 90.00
_cell_angle_gamma 90.00
loop_
_atom_site_label
_atom_site_type_symbol
_atom_site_fract_x
_atom_site_fract_y
_atom_site_fract_z
_atom_site_occupancy
Zr1 Zr 0.000 0.000 0.000 1
Tl1 Tl 0.000 0.000 0.500 1
Fe1 Fe 0.000 0.500 0.500 1
Hg1 Hg 0.500 0.500 0.000 1
```

## Properties
Size of the total moment   0.64 μB/f.u.
Formation energy   1.75 eV/atom
Mass density   8.3 g/cm3

***

Record 12
Tm6FeHg | PBE | optimized geometry

Structure (CIF):
```
data_Tm6FeHg
_chemical_formula_sum 'Tm12 Fe2 Hg2'
_space_group_name_H-M_alt 'C 1 2/m 1'
_space_group_IT_number 12
_cell_length_a 7.134
_cell_length_b 10.674
_cell_length_c 6.397
_cell_angle_alpha 90.00
_cell_angle_beta 108.65
_cell_angle_gamma 90.00
loop_
_space_group_symop_operation_xyz
'x,y,z'
'-x,-y,-z'
'-x,y,-z'
'x,-y,z'
'x+1/2,y+1/2,z'
'-x+1/2,-y+1/2,-z'
'-x+1/2,y+1/2,-z'
'x+1/2,-y+1/2,z'
loop_
_atom_site_label
_atom_site_type_symbol
_atom_site_fract_x
_atom_site_fract_y
_atom_site_fract_z
_atom_site_occupancy
Tm1 Tm 0.192 0.182 0.240 1
Tm2 Tm 0.233 0.000 0.777 1
Fe1 Fe 0.000 0.000 0.000 1
Hg1 Hg 0.000 0.500 0.500 1
```

## Properties
Size of the total moment   0.00 μB/f.u.
Formation energy   0.04 eV/atom
Mass density   9.1 g/cm3